# 1
Computed, not measured: a relaxed RbHoSb crystal at the GGA-PBE level of DFT.

Values from the calculation:
Raw total energy, eV/f.u.: -11.3
Crystal system: trigonal
Formation energy from raw total energies, eV per atom: -0.55

Unit cell a=13.8548 b=13.8548 c=13.8548 alpha=20.75 beta=20.75 gamma=20.75
Sites, in units of the cell vectors:
Rb 0.1123 0.1123 0.1123
Rb 0.8877 0.8877 0.8877
Ho 0.3055 0.3055 0.3055
Ho 0.6945 0.6945 0.6945
Sb 0.3839 0.3839 0.3839
Sb 0.6161 0.6161 0.6161


# 2
Computed, not measured: a relaxed V2BiAs2 crystal at the GGA-PBE level of DFT.

Values from the calculation:
Raw total energy, eV/f.u.: -31.7
Crystal system: tetragonal
Energy relative to the elements, eV per atom: -0.05

Unit cell a=7.4740 b=7.4740 c=3.1749 alpha=90.00 beta=90.00 gamma=90.00
Sites, in units of the cell vectors:
V 0.1364 0.3636 0.0000
V 0.3636 0.8636 0.0000
V 0.6364 0.1364 0.0000
V 0.8636 0.6364 0.0000
Bi 0.0000 0.0000 0.0000
Bi 0.5000 0.5000 0.0000
As 0.1392 0.6392 0.5000
As 0.3608 0.1392 0.5000
As 0.6392 0.8608 0.5000
As 0.8608 0.3608 0.5000


# 3
Computed, not measured: a relaxed Tl2In5Hg crystal at the GGA-PBE level of DFT.

Values from the calculation:
Raw total energy, eV/f.u.: -18.6
Crystal system: tetragonal
Energy relative to the elements, eV per atom: 0.02
E above lowest polymorph, meV per atom: 0

Unit cell a=10.9296 b=10.9296 c=10.9296 alpha=155.64 beta=155.64 gamma=34.72
Sites, in units of the cell vectors:
Tl 0.2478 0.2478 0.0000
Tl 0.7522 0.7522 0.0000
In 0.1189 0.6189 0.5000
In 0.3811 0.8811 0.5000
In 0.5000 0.5000 0.0000
In 0.6189 0.1189 0.5000
In 0.8811 0.3811 0.5000
Hg 0.0000 0.0000 0.0000


# 4
Computed, not measured: a relaxed EuHo2Tm crystal at the GGA-PBE level of DFT.

Values from the calculation:
Raw total energy, eV/f.u.: -23.3
Crystal system: trigonal
Energy relative to the elements, eV per atom: 0.16
E above lowest polymorph, meV per atom: 98

Unit cell a=12.5974 b=12.5974 c=12.5974 alpha=16.00 beta=16.00 gamma=16.00
Sites, in units of the cell vectors:
Eu 0.0000 0.0000 0.0000
Ho 0.0918 0.0918 0.0918
Ho 0.9082 0.9082 0.9082
Tm 0.5000 0.5000 0.5000